Record 1
TeRuCl3: optimized geometry, PBE.

abc: 4.8031 4.8031 4.8031
angles: 90.00 90.00 90.00
With the nearest neighbours (Å) after each atom.
Fractional positions:
Ru: 0.0000 0.0000 0.0000  6 Cl 2.40
Te: 0.5000 0.5000 0.5000  12 Cl 3.40
Cl: 0.0000 0.5000 0.0000  2 Ru 2.40
Cl: 0.0000 0.0000 0.5000  2 Ru 2.40
Cl: 0.5000 0.0000 0.0000  2 Ru 2.40

Symmetry: Pm-3m (221)
Magnetic moment: 0.01 μB/f.u.
Raw formation energy: 0.220 eV/atom

***

Record 2
Tl4Hg3: optimized geometry, PBE.

abc: 6.0001 6.0001 6.6458
angles: 90.00 90.00 120.00
With the nearest neighbours (Å) after each atom.
Fractional positions:
Hg: 0.0000 0.5000 0.0000  4 Hg 3.00
Hg: 0.5000 0.5000 0.0000  4 Hg 3.00
Hg: 0.5000 0.0000 0.0000  4 Hg 3.00
Tl: 0.0000 0.0000 0.2599  2 Tl 3.19-3.45, 6 Hg 3.46
Tl: 0.0000 0.0000 0.7401  2 Tl 3.19-3.45, 6 Hg 3.46
Tl: 0.6667 0.3333 0.5000  9 Tl 3.46-3.81, 6 Hg 3.75
Tl: 0.3333 0.6667 0.5000  9 Tl 3.46-3.81, 6 Hg 3.75

E_form: 12 meV per atom
Symmetry: P6/mmm (191)
Magnetic moment: 0.00 μB/f.u.

***

Record 3
NaCdNiSn2: optimized geometry, PBE.

abc: 4.9830 4.9830 5.0827
angles: 90.00 90.00 90.00
With the nearest neighbours (Å) after each atom.
Fractional positions:
Ni: 0.0000 0.0000 0.0000  4 Sn 2.49, 2 Cd 2.54
Na: 0.5000 0.5000 0.5000  4 Cd 3.52, 8 Sn 3.56
Sn: 0.0000 0.5000 0.0000  2 Ni 2.49
Sn: 0.5000 0.0000 0.0000  2 Ni 2.49
Cd: 0.0000 0.0000 0.5000  2 Ni 2.54

E_form: -45 meV per atom
Symmetry: P4/mmm (123)
Magnetic moment: 0.00 μB/f.u.

***

Record 4
TiFe2SnH: optimized geometry, PBE.

abc: 3.9772 3.9772 3.6747
angles: 90.00 90.00 90.00
With the nearest neighbours (Å) after each atom.
Fractional positions:
H: 0.0000 0.0000 0.0000  2 Ti 1.84, 4 Fe 1.99
Ti: 0.0000 0.0000 0.5000  2 H 1.84
Sn: 0.5000 0.5000 0.5000  8 Fe 2.71, 4 Ti 2.81
Fe: 0.0000 0.5000 0.0000  2 H 1.99
Fe: 0.5000 0.0000 0.0000  2 H 1.99

Symmetry: P4/mmm (123)
Magnetic moment: 0.58 μB/f.u.
Energy: -0.4800 Ry/atom

***

Record 5
Pb3AuC: optimized geometry, PBE.

abc: 5.0119 5.0119 5.0119
angles: 90.00 90.00 90.00
With the nearest neighbours (Å) after each atom.
Fractional positions:
Pb: 0.0000 0.5000 0.0000  2 C 2.51
Pb: 0.0000 0.0000 0.5000  2 C 2.51
Pb: 0.5000 0.0000 0.0000  2 C 2.51
C: 0.0000 0.0000 0.0000  6 Pb 2.51
Au: 0.5000 0.5000 0.5000  12 Pb 3.54

E_form: 906 meV per atom
Symmetry: Pm-3m (221)
Magnetic moment: 0.02 μB/f.u.

***

Record 6
Ba3Zn2O4F2: optimized geometry, PBE.

abc: 4.1535 4.1535 11.2257
angles: 100.66 100.66 90.00
With the nearest neighbours (Å) after each atom.
Fractional positions:
Ba: 0.0000 0.0000 0.0000  8 O 2.83
Ba: 0.1694 0.1694 0.3388  4 O 2.72, 5 F 2.78-3.02
Ba: 0.8306 0.8306 0.6612  4 O 2.72, 5 F 2.78-3.02
Zn: 0.4076 0.4076 0.8151  4 O 2.08
Zn: 0.5924 0.5924 0.1849  4 O 2.08
O: 0.4115 0.9115 0.8230  2 Zn 2.08
O: 0.9115 0.4115 0.8230  2 Zn 2.08
O: 0.0885 0.5885 0.1770  2 Zn 2.08
O: 0.5885 0.0885 0.1770  2 Zn 2.08
F: 0.2977 0.2977 0.5954  1 Zn 2.38
F: 0.7023 0.7023 0.4046  1 Zn 2.38

Symmetry: I4/mmm (139)
Magnetic moment: 0.00 μB/f.u.
Raw formation energy: -2.397 eV/atom

***

Question: Which value of magnetic moment does entry 1 give?
Answer: 0.01 μB/f.u.